An optimized crystal structure of Tm4Sc. Source: the Alexandria database, functional PBE.

Unit cell a=3.4510 b=3.4510 c=14.1148 alpha=83.08 beta=83.08 gamma=60.07
With the nearest neighbours (Å) after each atom.
Fractional coordinates of all 5 atoms:
Sc1 0.0000 0.0000 0.0000  6 Tm 3.35-3.36, 6 Sc 3.45
Tm1 0.7990 0.7990 0.6018  12 Tm 3.45-3.49
Tm2 0.2010 0.2010 0.3982  12 Tm 3.45-3.49
Tm3 0.6024 0.6024 0.1931  3 Sc 3.35-3.36, 9 Tm 3.45-3.49
Tm4 0.3976 0.3976 0.8069  3 Sc 3.35-3.36, 9 Tm 3.45-3.49

DOS(E_F) in states/eV per cell: 8.12
Magnetic moment in μB/f.u.: 0.00
Energy relative to the lowest polymorph listed for this composition in meV per atom: 0
Energy of formation in kJ per mole of atoms: 4

---

An optimized crystal structure of Tm3Sc8. Source: the Alexandria database, functional PBE.

Unit cell a=6.7633 b=6.7633 c=6.7633 alpha=93.08 beta=93.08 gamma=93.08
With the nearest neighbours (Å) after each atom.
Fractional coordinates of all 11 atoms:
Sc1 0.0946 0.9344 0.3066  2 Tm 2.97-3.32, 6 Sc 3.08-3.23
Sc2 0.3523 0.3523 0.3523  3 Tm 2.84
Tm1 0.5000 0.5000 0.0000  4 Sc 2.84-2.97
Sc3 0.6477 0.6477 0.6477  3 Tm 2.84
Sc4 0.9344 0.3066 0.0946  2 Tm 2.97-3.32, 6 Sc 3.08-3.23
Tm2 0.5000 0.0000 0.5000  4 Sc 2.84-2.97
Sc5 0.3066 0.0946 0.9344  2 Tm 2.97-3.32, 6 Sc 3.08-3.23
Sc6 0.0656 0.6934 0.9054  2 Tm 2.97-3.32, 6 Sc 3.08-3.23
Sc7 0.9054 0.0656 0.6934  2 Tm 2.97-3.32, 6 Sc 3.08-3.23
Tm3 0.0000 0.5000 0.5000  4 Sc 2.84-2.97
Sc8 0.6934 0.9054 0.0656  2 Tm 2.97-3.32, 6 Sc 3.08-3.23

DOS(E_F) in states/eV per cell: 20.91
Magnetic moment in μB/f.u.: 0.02
Energy relative to the lowest polymorph listed for this composition in meV per atom: 567
Energy of formation in kJ per mole of atoms: 59

---

An optimized crystal structure of Tm2Sc3. Source: the Alexandria database, functional PBE.

Unit cell a=5.8940 b=6.3095 c=9.0301 alpha=65.89 beta=70.95 gamma=62.16
With the nearest neighbours (Å) after each atom.
Fractional coordinates of all 10 atoms:
Sc1 0.9635 0.7587 0.6505  6 Sc 3.25-3.43, 6 Tm 3.30-3.43
Sc2 0.3727 0.7413 0.8495  6 Sc 3.25-3.43, 6 Tm 3.30-3.43
Sc3 0.6273 0.2587 0.1505  6 Sc 3.25-3.43, 6 Tm 3.30-3.43
Sc4 0.1638 0.7500 0.2500  6 Sc 3.26-3.43, 6 Tm 3.30-3.44
Tm1 0.2308 0.2473 0.9496  9 Sc 3.30-3.44, 3 Tm 3.31-3.40
Tm2 0.4277 0.2527 0.5504  9 Sc 3.30-3.44, 3 Tm 3.31-3.40
Tm3 0.7692 0.7527 0.0504  9 Sc 3.30-3.44, 3 Tm 3.31-3.40
Tm4 0.5723 0.7473 0.4496  9 Sc 3.30-3.44, 3 Tm 3.31-3.40
Sc5 0.0365 0.2413 0.3495  6 Sc 3.25-3.43, 6 Tm 3.30-3.43
Sc6 0.8362 0.2500 0.7500  6 Sc 3.26-3.43, 6 Tm 3.30-3.44

DOS(E_F) in states/eV per cell: 18.09
Magnetic moment in μB/f.u.: 0.00
Energy relative to the lowest polymorph listed for this composition in meV per atom: 0
Energy of formation in kJ per mole of atoms: 1

---

An optimized crystal structure of Tm4Sc3. Source: the Alexandria database, functional PBE.

Unit cell a=3.4109 b=4.7436 c=12.2832 alpha=101.13 beta=97.98 gamma=90.00
With the nearest neighbours (Å) after each atom.
Fractional coordinates of all 7 atoms:
Tm1 0.7127 0.2127 0.4254  5 Sc 3.37-3.47, 7 Tm 3.39-3.42
Tm2 0.4292 0.9292 0.8584  8 Sc 3.37-3.38, 4 Tm 3.38-3.41
Tm3 0.5708 0.0708 0.1416  8 Sc 3.37-3.38, 4 Tm 3.38-3.41
Tm4 0.2873 0.7873 0.5746  5 Sc 3.37-3.47, 7 Tm 3.39-3.42
Sc1 0.1420 0.6420 0.2839  9 Tm 3.37-3.47, 3 Sc 3.39-3.41
Sc2 0.8580 0.3580 0.7161  9 Tm 3.37-3.47, 3 Sc 3.39-3.41
Sc3 0.0000 0.5000 0.0000  8 Tm 3.37, 4 Sc 3.39-3.41

DOS(E_F) in states/eV per cell: 11.16
Magnetic moment in μB/f.u.: 0.00
Energy relative to the lowest polymorph listed for this composition in meV per atom: 0
Energy of formation in kJ per mole of atoms: 5

---

An optimized crystal structure of TmSc2. Source: the Alexandria database, functional PBE.

Unit cell a=3.3432 b=3.3432 c=7.4305 alpha=103.00 beta=103.00 gamma=90.00
With the nearest neighbours (Å) after each atom.
Fractional coordinates of all 3 atoms:
Tm1 0.0000 0.0000 0.0000  4 Tm 3.34, 8 Sc 3.37
Sc1 0.3292 0.3292 0.6585  8 Sc 3.25-3.34, 4 Tm 3.37
Sc2 0.6708 0.6708 0.3415  8 Sc 3.25-3.34, 4 Tm 3.37

DOS(E_F) in states/eV per cell: 4.75
Magnetic moment in μB/f.u.: 0.00
Energy relative to the lowest polymorph listed for this composition in meV per atom: 39
Energy of formation in kJ per mole of atoms: 5

---

An optimized crystal structure of Tm7Sc2. Source: the Alexandria database, functional PBE.

Unit cell a=5.9555 b=5.9555 c=8.4282 alpha=90.00 beta=90.00 gamma=120.00
With the nearest neighbours (Å) after each atom.
Fractional coordinates of all 9 atoms:
Sc1 0.6667 0.3333 0.0000  9 Tm 3.40-3.44, 3 Sc 3.44
Tm1 0.3353 0.3353 0.3286  2 Sc 3.40, 10 Tm 3.41-3.51
Sc2 0.3333 0.6667 0.0000  9 Tm 3.40-3.44, 3 Sc 3.44
Tm2 0.3353 0.0000 0.6714  2 Sc 3.40, 10 Tm 3.41-3.51
Tm3 0.0000 0.0000 0.0000  6 Tm 3.41, 6 Sc 3.44
Tm4 0.0000 0.6647 0.3286  2 Sc 3.40, 10 Tm 3.41-3.51
Tm5 0.6647 0.6647 0.6714  2 Sc 3.40, 10 Tm 3.41-3.51
Tm6 0.6647 0.0000 0.3286  2 Sc 3.40, 10 Tm 3.41-3.51
Tm7 0.0000 0.3353 0.6714  2 Sc 3.40, 10 Tm 3.41-3.51

DOS(E_F) in states/eV per cell: 13.58
Magnetic moment in μB/f.u.: 0.00
Energy of formation in kJ per mole of atoms: 4

---

An optimized crystal structure of TmScU. Source: the Alexandria database, functional PBE.

Unit cell a=5.3432 b=5.3432 c=3.0482 alpha=90.00 beta=90.00 gamma=120.00
With the nearest neighbours (Å) after each atom.
Fractional coordinates of all 3 atoms:
Sc1 0.3333 0.6667 0.5008  2 Sc 3.05, 3 U 3.08
Tm1 0.0000 0.0000 0.9998  2 Tm 3.05
U1 0.6667 0.3333 0.4994  2 U 3.05, 3 Sc 3.08

DOS(E_F) in states/eV per cell: 6.40
Magnetic moment in μB/f.u.: 2.83
Energy of formation in kJ per mole of atoms: 34

---

An optimized crystal structure of TmScV. Source: the Alexandria database, functional PBE.

Unit cell a=3.2130 b=3.2130 c=13.5271 alpha=96.82 beta=96.82 gamma=90.00
With the nearest neighbours (Å) after each atom.
Fractional coordinates of all 6 atoms:
Sc1 0.8408 0.8408 0.6817  5 V 2.95-2.96, 4 Sc 3.21
Tm1 0.4370 0.4370 0.8740  5 Tm 3.21-3.36, 4 Sc 3.43
V1 0.7303 0.7303 0.4605  4 V 2.50
Tm2 0.5630 0.5630 0.1260  5 Tm 3.21-3.36, 4 Sc 3.43
Sc2 0.1592 0.1592 0.3183  5 V 2.95-2.96, 4 Sc 3.21
V2 0.2697 0.2697 0.5395  4 V 2.50

DOS(E_F) in states/eV per cell: 6.22
Magnetic moment in μB/f.u.: 0.00
Energy of formation in kJ per mole of atoms: 18